Density functional theory data (GGA-PBE) for crystalline MgCoSn2Bi at its relaxed geometry.

a = 4.9080 Å, b = 4.9080 Å, c = 5.0753 Å
α = 90.00°, β = 90.00°, γ = 90.00°
Closest atoms and distances in Å follow each position.
Atoms (fractional coordinates):
Co 0.0000 0.0000 0.0000  4 Sn 2.45, 2 Mg 2.54
Mg 0.0000 0.0000 0.5000  2 Co 2.54
Bi 0.5000 0.5000 0.5000  4 Mg 3.47, 8 Sn 3.53
Sn 0.5000 0.0000 0.0000  2 Co 2.45
Sn 0.0000 0.5000 0.0000  2 Co 2.45

Summary:
symmetry	No. 123
DFT formation energy	0.05	eV/atom

Density functional theory data (GGA-PBE) for crystalline Y2MgCoBi at its relaxed geometry.

a = 5.1181 Å, b = 5.1181 Å, c = 4.9157 Å
α = 90.00°, β = 90.00°, γ = 90.00°
Closest atoms and distances in Å follow each position.
Atoms (fractional coordinates):
Co 0.0000 0.0000 0.0000  2 Mg 2.46, 4 Y 2.56
Mg 0.0000 0.0000 0.5000  2 Co 2.46
Y 0.5000 0.0000 0.0000  2 Co 2.56
Y 0.0000 0.5000 0.0000  2 Co 2.56
Bi 0.5000 0.5000 0.5000  8 Y 3.55, 4 Mg 3.62

Summary:
symmetry	No. 123
DFT formation energy	-0.26	eV/atom

Density functional theory data (GGA-PBE) for crystalline Mn3CoBi at its relaxed geometry.

a = 4.5845 Å, b = 4.5845 Å, c = 4.5845 Å
α = 90.00°, β = 90.00°, γ = 90.00°
Closest atoms and distances in Å follow each position.
Atoms (fractional coordinates):
Mn 0.0000 0.5000 0.0000  2 Co 2.29
Mn 0.5000 0.0000 0.0000  2 Co 2.29
Mn 0.0000 0.0000 0.5000  2 Co 2.29
Bi 0.5000 0.5000 0.5000  12 Mn 3.24
Co 0.0000 0.0000 0.0000  6 Mn 2.29

Summary:
symmetry	No. 221
DFT formation energy	0.67	eV/atom
energy above the most stable polymorph in this dataset	0	meV per atom

Density functional theory data (GGA-PBE) for crystalline MnCo3Bi at its relaxed geometry.

a = 4.2875 Å, b = 4.2875 Å, c = 4.2875 Å
α = 90.00°, β = 90.00°, γ = 90.00°
Closest atoms and distances in Å follow each position.
Atoms (fractional coordinates):
Co 0.5000 0.0000 0.0000  2 Mn 2.14
Co 0.0000 0.5000 0.0000  2 Mn 2.14
Co 0.0000 0.0000 0.5000  2 Mn 2.14
Mn 0.0000 0.0000 0.0000  6 Co 2.14
Bi 0.5000 0.5000 0.5000  12 Co 3.03

Summary:
symmetry	No. 221
DFT formation energy	1.00	eV/atom
energy above the most stable polymorph in this dataset	0	meV per atom

Density functional theory data (GGA-PBE) for crystalline MnCoBi2 at its relaxed geometry.

a = 5.9507 Å, b = 5.9507 Å, c = 7.2120 Å
α = 65.63°, β = 65.63°, γ = 90.00°
Closest atoms and distances in Å follow each position.
Atoms (fractional coordinates):
Bi 0.6297 0.1250 0.2500  2 Co 2.55, 2 Mn 2.58
Bi 0.1203 0.6250 0.2500  2 Co 2.55, 2 Mn 2.58
Bi 0.3750 0.3703 0.7500  2 Co 2.55, 2 Mn 2.58
Bi 0.8750 0.8797 0.7500  2 Co 2.55, 2 Mn 2.58
Co 0.0000 0.0000 0.0000  4 Bi 2.55
Co 0.7500 0.2500 0.5000  4 Bi 2.55
Mn 0.2500 0.7500 0.5000  4 Bi 2.58
Mn 0.5000 0.5000 0.0000  4 Bi 2.58

Summary:
symmetry	No. 122
DFT formation energy	1.04	eV/atom

Density functional theory data (GGA-PBE) for crystalline Mn2CoBiSb at its relaxed geometry.

a = 4.9450 Å, b = 6.0132 Å, c = 4.9450 Å
α = 90.00°, β = 90.00°, γ = 90.00°
Closest atoms and distances in Å follow each position.
Atoms (fractional coordinates):
Sb 0.0000 0.0000 0.0000  4 Mn 2.47
Mn 0.0000 0.0000 0.5000  2 Sb 2.47
Mn 0.5000 0.0000 0.0000  2 Sb 2.47
Bi 0.0000 0.5000 0.0000  2 Sb 3.01
Co 0.5000 0.5000 0.5000  4 Bi 3.50, 8 Mn 3.89

Summary:
symmetry	No. 123
formation energy without anion corrections	1.388	eV/atom

Density functional theory data (GGA-PBE) for crystalline TaMnCoBi2 at its relaxed geometry.

a = 4.9780 Å, b = 4.6316 Å, c = 4.9780 Å
α = 90.00°, β = 90.00°, γ = 90.00°
Closest atoms and distances in Å follow each position.
Atoms (fractional coordinates):
Bi 0.5000 0.0000 0.0000  2 Mn 2.49
Bi 0.0000 0.0000 0.5000  2 Mn 2.49
Co 0.5000 0.5000 0.5000  8 Bi 3.40, 4 Ta 3.52
Mn 0.0000 0.0000 0.0000  2 Ta 2.32, 4 Bi 2.49
Ta 0.0000 0.5000 0.0000  2 Mn 2.32

Summary:
symmetry	No. 123
DFT formation energy	1.23	eV/atom
energy above the most stable polymorph in this dataset	179	meV per atom

Density functional theory data (GGA-PBE) for crystalline TaMnCoBi2 at its relaxed geometry.

a = 5.0047 Å, b = 4.4952 Å, c = 5.0047 Å
α = 90.00°, β = 90.00°, γ = 90.00°
Closest atoms and distances in Å follow each position.
Atoms (fractional coordinates):
Mn 0.0000 0.5000 0.0000  2 Co 2.25
Bi 0.5000 0.0000 0.0000  2 Co 2.50
Bi 0.0000 0.0000 0.5000  2 Co 2.50
Ta 0.5000 0.5000 0.5000  8 Bi 3.36, 4 Mn 3.54
Co 0.0000 0.0000 0.0000  2 Mn 2.25, 4 Bi 2.50

Summary:
symmetry	No. 123
DFT formation energy	1.05	eV/atom
energy above the most stable polymorph in this dataset	0	meV per atom

Density functional theory data (GGA-PBE) for crystalline CoBi2Mo at its relaxed geometry.

a = 7.5474 Å, b = 7.5474 Å, c = 6.1853 Å
α = 52.40°, β = 52.40°, γ = 90.00°
Closest atoms and distances in Å follow each position.
Atoms (fractional coordinates):
Bi 0.3750 0.4150 0.7500  2 Co 2.59
Bi 0.8750 0.8350 0.7500  2 Co 2.59
Bi 0.5850 0.1250 0.2500  2 Co 2.59
Bi 0.1650 0.6250 0.2500  2 Co 2.59
Co 0.5000 0.5000 0.0000  4 Bi 2.59
Co 0.2500 0.7500 0.5000  4 Bi 2.59
Mo 0.0000 0.0000 0.0000  4 Bi 2.99, 2 Co 3.13
Mo 0.7500 0.2500 0.5000  4 Bi 2.99, 2 Co 3.13

Summary:
symmetry	No. 122
DFT formation energy	0.96	eV/atom
energy above the most stable polymorph in this dataset	240	meV per atom

Density functional theory data (GGA-PBE) for crystalline Co2BiMo2 at its relaxed geometry.

a = 6.7640 Å, b = 6.7640 Å, c = 3.3986 Å
α = 90.00°, β = 90.00°, γ = 90.00°
Closest atoms and distances in Å follow each position.
Atoms (fractional coordinates):
Mo 0.8443 0.3443 0.5000  6 Co 2.55-2.71
Mo 0.6557 0.8443 0.5000  6 Co 2.55-2.71
Mo 0.1557 0.6557 0.5000  6 Co 2.55-2.71
Mo 0.3443 0.1557 0.5000  6 Co 2.55-2.71
Co 0.3768 0.8768 0.0000  1 Co 2.36, 4 Mo 2.55
Co 0.6232 0.1232 0.0000  1 Co 2.36, 4 Mo 2.55
Co 0.1232 0.3768 0.0000  1 Co 2.36, 4 Mo 2.55
Co 0.8768 0.6232 0.0000  1 Co 2.36, 4 Mo 2.55
Bi 0.0000 0.0000 0.0000  4 Co 2.68
Bi 0.5000 0.5000 0.0000  4 Co 2.68

Summary:
symmetry	No. 127
DFT formation energy	0.49	eV/atom

Density functional theory data (GGA-PBE) for crystalline Co2BiMo at its relaxed geometry.

a = 4.2606 Å, b = 4.2606 Å, c = 8.4442 Å
α = 75.39°, β = 75.39°, γ = 90.00°
Closest atoms and distances in Å follow each position.
Atoms (fractional coordinates):
Co 0.8750 0.7974 0.7500  2 Mo 2.36, 2 Co 2.59, 2 Bi 2.64
Co 0.5474 0.1250 0.2500  2 Mo 2.36, 2 Co 2.59, 2 Bi 2.64
Co 0.3750 0.4526 0.7500  2 Mo 2.36, 2 Co 2.59, 2 Bi 2.64
Co 0.2026 0.6250 0.2500  2 Mo 2.36, 2 Co 2.59, 2 Bi 2.64
Mo 0.5000 0.5000 0.0000  4 Co 2.36
Mo 0.2500 0.7500 0.5000  4 Co 2.36
Bi 0.0000 0.0000 0.0000  4 Co 2.64
Bi 0.7500 0.2500 0.5000  4 Co 2.64

Summary:
symmetry	No. 122
DFT formation energy	0.85	eV/atom

Density functional theory data (GGA-PBE) for crystalline Co3BiMo at its relaxed geometry.

a = 4.4938 Å, b = 4.4938 Å, c = 4.4938 Å
α = 90.00°, β = 90.00°, γ = 90.00°
Closest atoms and distances in Å follow each position.
Atoms (fractional coordinates):
Co 0.0000 0.5000 0.0000  2 Mo 2.25
Co 0.5000 0.0000 0.0000  2 Mo 2.25
Co 0.0000 0.0000 0.5000  2 Mo 2.25
Mo 0.0000 0.0000 0.0000  6 Co 2.25
Bi 0.5000 0.5000 0.5000  12 Co 3.18

Summary:
symmetry	No. 221
DFT formation energy	1.19	eV/atom
energy above the most stable polymorph in this dataset	0	meV per atom

Density functional theory data (GGA-PBE) for crystalline CoBi2Mo at its relaxed geometry.

a = 4.8093 Å, b = 4.8093 Å, c = 4.8093 Å
α = 60.00°, β = 60.00°, γ = 60.00°
Closest atoms and distances in Å follow each position.
Atoms (fractional coordinates):
Mo 0.5000 0.5000 0.5000  8 Bi 2.95
Bi 0.2500 0.2500 0.2500  4 Mo 2.95, 4 Co 2.95
Bi 0.7500 0.7500 0.7500  4 Mo 2.95, 4 Co 2.95
Co 0.0000 0.0000 0.0000  8 Bi 2.95

Summary:
symmetry	No. 225
DFT formation energy	0.72	eV/atom
energy above the most stable polymorph in this dataset	0	meV per atom